No. 1
Er2TmZr: optimized geometry, PBE-GGA.

Properties
Energy above the most stable polymorph in this dataset ... 0.007 eV per atom
SG ... R3m (160)
Size of the total moment ... 0.00 μB per cell
Mass density ... 8752 kg/m3
DOS(E_F) ... 1.653 states/eV/atom

a = 3.434 Å, b = 3.434 Å, c = 11.225 Å
α = 81.20°, β = 81.20°, γ = 60.00°
Element x y z (fractional)
Tm 0.500 0.500 0.499
Er 0.254 0.254 0.238
Er 0.079 0.079 0.762
Zr 0.666 0.666 0.001

***

No. 2
Er6Tm3Zr: optimized geometry, PBE-GGA.

Properties
Energy above the most stable polymorph in this dataset ... 0.000 eV per atom
SG ... Cmc2_1 (36)
Size of the total moment ... 0.00 μB per cell
Mass density ... 8791 kg/m3
DOS(E_F) ... 1.299 states/eV/atom

a = 6.043 Å, b = 10.734 Å, c = 10.734 Å
α = 119.66°, β = 90.00°, γ = 90.00°
Element x y z (fractional)
Er 0.373 0.045 0.461
Tm 0.442 0.943 0.719
Tm 0.942 0.719 0.943
Er 0.033 0.705 0.619
Er 0.533 0.619 0.705
Tm 0.942 0.057 0.281
Zr 0.153 0.209 0.791
Er 0.873 0.955 0.539
Tm 0.442 0.281 0.057
Tm 0.566 0.614 0.386
Er 0.421 0.948 0.052
Er 0.533 0.295 0.381
Er 0.033 0.381 0.295
Tm 0.066 0.386 0.614
Er 0.373 0.539 0.955
Er 0.921 0.052 0.948
Er 0.150 0.726 0.274
Er 0.873 0.461 0.045
Zr 0.653 0.791 0.209
Er 0.650 0.274 0.726

***

> Look up the size of the total moment of the second one.

0.00 μB per cell

***

> Among the records above, which one has the highest energy above the most stable polymorph in this dataset?

Er2TmZr

***

> What is the DOS(E_F) in the second record?

1.299 states/eV/atom